A plane-wave DFT calculation with PBE-GGA was carried out for crystalline RbBi2As2 at its relaxed geometry.

Results
**SG**: I4/mmm (139)
**Energy of formation**: -51 meV/atom
**Polymorph energy (0 for the lowest one)**: 0.57 eV per formula unit
**Volume**: 31.71 A^3/atom

The structure in extended XYZ format:
```
5
Lattice="4.765 0.000 0.000 0.000 4.765 0.000 2.383 2.383 6.984" Properties=species:S:1:pos:R:3 pbc="T T T"
As 2.383 2.383 1.213
Rb 0.000 0.000 0.000
As 4.765 4.765 5.771
Bi 2.383 4.765 3.492
Bi 4.765 2.383 3.492
```

=====

A plane-wave DFT calculation with PBE-GGA was carried out for crystalline Rb3Bi2As at its relaxed geometry.

Results
**SG**: C2/c (15)
**Energy of formation**: -344 meV/atom
**Volume**: 44.33 A^3/atom

The structure in extended XYZ format:
```
12
Lattice="8.447 -0.561 1.080 -0.958 8.411 1.080 -0.305 -0.320 7.457" Properties=species:S:1:pos:R:3 pbc="T T T"
Rb 2.657 4.809 2.945
Rb 4.930 7.339 6.171
Bi -0.536 5.336 5.144
Bi 1.675 7.653 8.202
Bi 7.719 2.194 4.473
Bi 5.508 -0.123 1.416
As 5.366 2.225 2.945
As 1.817 5.305 6.673
Rb 7.251 5.431 2.443
Rb 4.526 2.721 6.673
Rb -0.068 2.099 7.175
Rb 2.253 0.191 3.446
```

=====

A plane-wave DFT calculation with PBE-GGA was carried out for crystalline Rb2BiAs at its relaxed geometry.

Results
**SG**: Imm2 (44)
**Energy of formation**: -330 meV/atom
**Polymorph energy (0 for the lowest one)**: 0.00 eV per formula unit
**Volume**: 41.95 A^3/atom

The structure in extended XYZ format:
```
4
Lattice="4.436 0.002 0.000 2.215 6.420 0.158 2.216 2.410 5.952" Properties=species:S:1:pos:R:3 pbc="T T T"
As 6.650 7.396 3.468
Bi 2.217 1.971 1.870
Rb 2.215 5.701 0.232
Rb 4.433 4.601 3.754
```

=====

A plane-wave DFT calculation with PBE-GGA was carried out for crystalline Rb2BiAs at its relaxed geometry.

Results
**SG**: Fm-3m (225)
**Energy of formation**: 123 meV/atom
**Polymorph energy (0 for the lowest one)**: 1.81 eV per formula unit
**Volume**: 37.91 A^3/atom

The structure in extended XYZ format:
```
4
Lattice="-5.872 1.161 -0.044 -2.515 2.527 -4.808 -3.657 -3.200 -3.495" Properties=species:S:1:pos:R:3 pbc="T T T"
Rb -3.011 0.122 -2.087
Bi -6.022 0.244 -4.173
Rb -9.033 0.366 -6.260
As 0.000 0.000 0.000
```

=====

A plane-wave DFT calculation with PBE-GGA was carried out for crystalline RbBi3As3 at its relaxed geometry.

Results
**SG**: Pm-3n (223)
**Energy of formation**: 29 meV/atom
**Volume**: 39.88 A^3/atom

The structure in extended XYZ format:
```
14
Lattice="-7.194 3.530 1.897 1.093 -2.022 7.907 3.855 7.159 1.298" Properties=species:S:1:pos:R:3 pbc="T T T"
Bi -3.324 1.260 2.925
As 2.201 3.074 2.626
Rb 0.000 0.000 0.000
Bi 1.510 0.779 4.278
Bi 3.438 4.359 4.927
As -1.252 -0.128 4.428
Bi -2.777 0.249 6.879
Rb -1.123 4.334 5.551
Bi 0.129 4.462 1.123
As -2.633 3.555 1.273
Bi -3.467 6.227 2.071
As -0.705 7.134 1.922
As -4.849 1.637 5.376
As 2.747 2.063 6.579
```

=====

A plane-wave DFT calculation with PBE-GGA was carried out for crystalline RbBiAs at its relaxed geometry.

Results
**SG**: P2_1/m (11)
**Energy of formation**: -268 meV/atom
**Polymorph energy (0 for the lowest one)**: 0.00 eV per formula unit
**Volume**: 37.45 A^3/atom

The structure in extended XYZ format:
```
12
Lattice="8.047 -0.403 0.000 -3.413 8.998 0.000 0.000 0.000 6.327" Properties=species:S:1:pos:R:3 pbc="T T T"
As 4.224 2.361 1.581
Rb 6.301 2.826 4.747
As 0.200 2.562 1.582
Rb 2.278 3.028 4.744
Bi 6.137 0.374 1.582
Bi 2.521 8.020 4.745
Rb 2.356 5.568 1.583
Bi 2.113 0.575 1.582
As 4.434 6.033 4.745
Bi -1.503 8.221 4.745
As 0.410 6.235 4.746
Rb -1.667 5.769 1.580
```